The following is a meta-GGA SCAN calculation of a crystal of La2YAg relaxed with PBEsol, from the Alexandria database.

- E above lowest polymorph (eV/atom) = 0.136
- crystal system = orthorhombic
- energy of formation from the pure elements (meV per atom) = -25

Unit cell a=3.636 b=5.612 c=5.612 alpha=90.14 beta=90.00 gamma=90.00
Sites, in units of the cell vectors:
La 0.000 0.000 0.500
La 0.000 0.500 0.000
Ag 0.500 0.500 0.500
Y 0.500 0.000 0.000


The following is a meta-GGA SCAN calculation of a crystal of YCuNi relaxed with PBEsol, from the Alexandria database.

- crystal system = hexagonal
- energy of formation from the pure elements (meV per atom) = -316

Unit cell a=3.575 b=4.061 c=4.061 alpha=120.00 beta=90.00 gamma=90.00
Sites, in units of the cell vectors:
Cu 0.000 0.000 0.000
Ni 0.000 0.333 0.667
Y 0.500 0.667 0.333


The following is a meta-GGA SCAN calculation of a crystal of YNb2RhI relaxed with PBEsol, from the Alexandria database.

- crystal system = tetragonal
- raw formation energy (eV/atom) = 1.540

Unit cell a=4.907 b=4.907 c=5.390 alpha=90.00 beta=90.00 gamma=90.00
Each line ends with the local moment (μB).
Sites, in units of the cell vectors:
I 0.000 0.000 0.000  0.01
Nb 0.000 0.500 0.000  -0.79
Nb 0.500 0.000 0.000  -0.79
Y 0.000 0.000 0.500  -0.05
Rh 0.500 0.500 0.500  -0.19


The following is a meta-GGA SCAN calculation of a crystal of LaMg2CoSi relaxed with PBEsol, from the Alexandria database.

- crystal system = tetragonal
- raw formation energy (eV/atom) = 0.182

Unit cell a=4.808 b=4.808 c=4.804 alpha=90.00 beta=90.00 gamma=90.00
Sites, in units of the cell vectors:
Si 0.500 0.500 0.500
Mg 0.500 0.000 0.000
Mg 0.000 0.500 0.000
Co 0.000 0.000 0.000
La 0.000 0.000 0.500


The following is a meta-GGA SCAN calculation of a crystal of Ce2Pd2Pb relaxed with PBEsol, from the Alexandria database.

- crystal system = tetragonal
- energy of formation from the pure elements (meV per atom) = -834

Unit cell a=3.689 b=7.796 c=7.796 alpha=90.00 beta=90.00 gamma=90.00
Each line ends with the local moment (μB).
Sites, in units of the cell vectors:
Ce 0.500 0.825 0.675  0.66
Ce 0.500 0.175 0.325  0.66
Ce 0.500 0.325 0.825  0.66
Ce 0.500 0.675 0.175  0.66
Pd 0.000 0.626 0.874  -0.03
Pd 0.000 0.874 0.374  -0.03
Pd 0.000 0.126 0.626  -0.03
Pd 0.000 0.374 0.126  -0.03
Pb 0.000 0.000 0.000  -0.01
Pb 0.000 0.500 0.500  -0.01


The following is a meta-GGA SCAN calculation of a crystal of LaCuBr2 relaxed with PBEsol, from the Alexandria database.

- E above lowest polymorph (eV/atom) = 0.000
- crystal system = orthorhombic
- raw formation energy (eV/atom) = -0.982

Unit cell a=3.984 b=4.850 c=5.756 alpha=114.91 beta=110.25 gamma=90.00
Sites, in units of the cell vectors:
Br 0.001 0.001 0.002
Br 0.777 0.277 0.554
Cu 0.504 0.504 0.009
La 0.217 0.717 0.435


The following is a meta-GGA SCAN calculation of a crystal of Zr5Al2Cu relaxed with PBEsol, from the Alexandria database.

- crystal system = orthorhombic
- energy of formation from the pure elements (meV per atom) = -271

Unit cell a=4.419 b=5.912 c=11.769 alpha=90.00 beta=90.00 gamma=90.00
Sites, in units of the cell vectors:
Zr 0.000 0.500 0.500
Zr 0.500 0.796 0.615
Zr 0.500 0.296 0.885
Zr 0.000 0.066 0.734
Zr 0.000 0.434 0.234
Zr 0.000 0.934 0.266
Zr 0.500 0.704 0.115
Zr 0.000 0.000 0.000
Zr 0.500 0.204 0.385
Zr 0.000 0.566 0.766
Cu 0.000 0.000 0.500
Cu 0.000 0.500 0.000
Al 0.500 0.193 0.132
Al 0.500 0.307 0.632
Al 0.500 0.807 0.868
Al 0.500 0.693 0.368


The following is a meta-GGA SCAN calculation of a crystal of PrZr3F15 relaxed with PBEsol, from the Alexandria database.

- crystal system = monoclinic
- raw formation energy (eV/atom) = -4.071

Unit cell a=8.191 b=8.211 c=8.211 alpha=98.95 beta=100.75 gamma=100.75
Sites, in units of the cell vectors:
F 0.976 0.252 0.056
F 0.524 0.944 0.748
F 0.722 0.729 0.993
F 0.146 0.069 0.199
F 0.476 0.056 0.252
F 0.285 0.501 0.774
F 0.222 0.993 0.729
F 0.215 0.226 0.499
F 0.816 0.471 0.840
F 0.684 0.160 0.529
F 0.354 0.801 0.931
F 0.184 0.529 0.160
F 0.778 0.007 0.271
F 0.750 0.469 0.531
F 0.441 0.350 0.320
F 0.059 0.680 0.650
F 0.024 0.748 0.944
F 0.998 0.765 0.281
F 0.278 0.271 0.007
F 0.502 0.719 0.235
F 0.316 0.840 0.471
F 0.785 0.774 0.501
F 0.646 0.199 0.069
F 0.002 0.235 0.719
F 0.498 0.281 0.765
F 0.854 0.931 0.801
F 0.941 0.320 0.350
F 0.250 0.531 0.469
F 0.715 0.499 0.226
F 0.559 0.650 0.680
Zr 0.327 0.737 0.679
Zr 0.173 0.321 0.263
Zr 0.827 0.679 0.737
Zr 0.673 0.263 0.321
Zr 0.250 0.243 0.757
Zr 0.750 0.757 0.243
Pr 0.750 0.177 0.823
Pr 0.250 0.823 0.177


The following is a meta-GGA SCAN calculation of a crystal of YCr3Pd relaxed with PBEsol, from the Alexandria database.

- crystal system = cubic
- energy of formation from the pure elements (meV per atom) = 642

Unit cell a=4.762 b=4.762 c=4.762 alpha=90.00 beta=90.00 gamma=90.00
Each line ends with the local moment (μB).
Sites, in units of the cell vectors:
Pd 0.000 0.000 0.000  0.39
Cr 0.000 0.000 0.500  3.71
Cr 0.000 0.500 0.000  3.71
Cr 0.500 0.000 0.000  3.71
Y 0.500 0.500 0.500  -0.04


The following is a meta-GGA SCAN calculation of a crystal of BeGaAs2Br relaxed with PBEsol, from the Alexandria database.

- crystal system = tetragonal
- raw formation energy (eV/atom) = 1.461

Unit cell a=5.034 b=5.034 c=5.237 alpha=90.00 beta=90.00 gamma=90.00
Sites, in units of the cell vectors:
Br 0.000 0.000 0.000
As 0.500 0.000 0.000
As 0.000 0.500 0.000
Ga 0.000 0.000 0.500
Be 0.500 0.500 0.500


The following is a meta-GGA SCAN calculation of a crystal of ZnMo3 relaxed with PBEsol, from the Alexandria database.

- E above lowest polymorph (eV/atom) = 0.235
- crystal system = orthorhombic
- energy of formation from the pure elements (meV per atom) = 258

Unit cell a=2.584 b=4.587 c=5.055 alpha=90.00 beta=90.00 gamma=90.00
Sites, in units of the cell vectors:
Mo 0.000 0.000 0.019
Mo 0.500 0.500 0.814
Mo 0.500 0.000 0.511
Zn 0.000 0.500 0.323


The following is a meta-GGA SCAN calculation of a crystal of LaScTl relaxed with PBEsol, from the Alexandria database.

- E above lowest polymorph (eV/atom) = 0.474
- crystal system = cubic
- energy of formation from the pure elements (meV per atom) = 79

Unit cell a=4.962 b=4.962 c=4.962 alpha=60.00 beta=60.00 gamma=60.00
Each line ends with the local moment (μB).
Sites, in units of the cell vectors:
Tl 0.000 0.000 0.000  0.00
Sc 0.250 0.250 0.250  0.38
La 0.500 0.500 0.500  0.21


The following is a meta-GGA SCAN calculation of a crystal of AsPPb2 relaxed with PBEsol, from the Alexandria database.

- crystal system = monoclinic
- energy of formation from the pure elements (meV per atom) = 203

Unit cell a=3.464 b=5.862 c=5.308 alpha=113.11 beta=90.00 gamma=107.18
Sites, in units of the cell vectors:
Pb 0.761 0.523 0.272
Pb 0.972 0.945 0.963
As 0.550 0.100 0.545
P 0.216 0.432 0.721


The following is a meta-GGA SCAN calculation of a crystal of CrRhW relaxed with PBEsol, from the Alexandria database.

- crystal system = tetragonal
- energy of formation from the pure elements (meV per atom) = 172

Unit cell a=3.051 b=3.051 c=4.930 alpha=108.02 beta=108.02 gamma=90.00
Sites, in units of the cell vectors:
Rh 0.665 0.665 0.330
Cr 0.988 0.988 0.976
W 0.347 0.347 0.694


The following is a meta-GGA SCAN calculation of a crystal of ZrTeRh2 relaxed with PBEsol, from the Alexandria database.

- E above lowest polymorph (eV/atom) = 0.000
- crystal system = tetragonal
- raw formation energy (eV/atom) = -0.602

Unit cell a=3.475 b=3.475 c=5.788 alpha=90.00 beta=90.00 gamma=90.00
Sites, in units of the cell vectors:
Rh 0.000 0.000 0.740
Rh 0.000 0.000 0.260
Zr 0.500 0.500 0.500
Te 0.500 0.500 0.000


The following is a meta-GGA SCAN calculation of a crystal of La2ReIr relaxed with PBEsol, from the Alexandria database.

- E above lowest polymorph (eV/atom) = 0.012
- crystal system = cubic
- energy of formation from the pure elements (meV per atom) = 110

Unit cell a=4.992 b=4.992 c=4.992 alpha=60.00 beta=60.00 gamma=60.00
Sites, in units of the cell vectors:
La 0.250 0.250 0.250
La 0.750 0.750 0.750
Ir 0.000 0.000 0.000
Re 0.500 0.500 0.500


The following is a meta-GGA SCAN calculation of a crystal of LiScCo4 relaxed with PBEsol, from the Alexandria database.

- crystal system = cubic
- energy of formation from the pure elements (meV per atom) = -88

Unit cell a=4.715 b=4.715 c=4.715 alpha=60.00 beta=60.00 gamma=60.00
Each line ends with the local moment (μB).
Sites, in units of the cell vectors:
Co 0.375 0.375 0.375  1.62
Co 0.874 0.375 0.375  1.62
Co 0.375 0.874 0.375  1.62
Co 0.375 0.375 0.874  1.62
Sc 0.000 0.000 0.000  -0.45
Li 0.750 0.750 0.750  -0.04


The following is a meta-GGA SCAN calculation of a crystal of K2ScW relaxed with PBEsol, from the Alexandria database.

- crystal system = tetragonal
- energy of formation from the pure elements (meV per atom) = 1538

Unit cell a=4.136 b=4.136 c=6.249 alpha=90.00 beta=90.00 gamma=90.00
Each line ends with the local moment (μB).
Sites, in units of the cell vectors:
W 0.000 0.000 0.500  1.20
K 0.000 0.500 0.000  0.03
K 0.500 0.000 0.000  0.03
Sc 0.500 0.500 0.500  0.08


The following is a meta-GGA SCAN calculation of a crystal of BeMoBr2 relaxed with PBEsol, from the Alexandria database.

- E above lowest polymorph (eV/atom) = 0.592
- crystal system = tetragonal
- raw formation energy (eV/atom) = 0.836

Unit cell a=5.514 b=6.362 c=5.514 alpha=64.32 beta=90.00 gamma=115.68
Sites, in units of the cell vectors:
Mo 0.750 0.500 0.750
Mo 0.000 0.000 0.000
Br 0.576 0.750 0.375
Br 0.375 0.250 0.174
Br 0.875 0.250 0.576
Br 0.174 0.750 0.875
Be 0.500 0.000 0.500
Be 0.250 0.500 0.250


The following is a meta-GGA SCAN calculation of a crystal of CoSi3 relaxed with PBEsol, from the Alexandria database.

- crystal system = hexagonal
- raw formation energy (eV/atom) = 0.462

Unit cell a=4.274 b=5.155 c=5.155 alpha=120.00 beta=90.00 gamma=90.00
Each line ends with the local moment (μB).
Sites, in units of the cell vectors:
Si 0.750 0.656 0.828  0.01
Si 0.250 0.344 0.172  0.01
Si 0.750 0.172 0.344  0.01
Si 0.250 0.828 0.656  0.01
Si 0.750 0.172 0.828  0.01
Si 0.250 0.828 0.172  0.01
Co 0.750 0.667 0.333  0.87
Co 0.250 0.333 0.667  0.87


Spin magnetization values (in μB/f.u.) by entry order: 0.00 0.00 2.23 0.00 1.46 0.00 0.02 0.00 12.39 0.00 0.00 0.85 0.00 0.00 0.00 0.00 5.64 2.04 0.00 0.85.